YSi2Ag | PBE | optimized geometry

a b c (Å): 3.5958 3.5958 6.4400
angles (deg): 90.00 90.00 105.06
Atoms (fractional coordinates):
Si  0.0000  0.0000  0.9555
Si  0.0000  0.0000  0.5445
Ag  0.5000  0.5000  0.7500
Y  0.5000  0.5000  0.2500

Values from the calculation:
symmetry: Cmmm
raw formation energy: -34.2 kJ/mol of formula units
energy: -20.52 eV for the cell shown